(1)
Below is Tb12Sm7Y after structural relaxation, with properties calculated at the PBE level.

a = 8.794 Å, b = 8.794 Å, c = 8.794 Å
α = 86.24°, β = 86.24°, γ = 86.24°
Sites, in units of the cell vectors:
1 Sm 0.075 0.154 0.398
2 Sm 0.398 0.075 0.154
3 Sm 0.154 0.398 0.075
4 Sm 0.500 0.500 0.500
5 Sm 0.846 0.602 0.925
6 Sm 0.925 0.846 0.602
7 Sm 0.602 0.925 0.846
8 Tb 0.149 0.745 0.273
9 Tb 0.867 0.504 0.381
10 Tb 0.273 0.149 0.745
11 Tb 0.255 0.727 0.851
12 Tb 0.496 0.619 0.133
13 Tb 0.504 0.381 0.867
14 Tb 0.381 0.867 0.504
15 Tb 0.133 0.496 0.619
16 Tb 0.745 0.273 0.149
17 Tb 0.727 0.851 0.255
18 Tb 0.619 0.133 0.496
19 Tb 0.851 0.255 0.727
20 Y 0.000 0.000 0.000

symmetry = R-3, No. 148
polymorph energy (0 for the lowest one) = 0 meV per atom
density of states at the Fermi level = 1.845 states/eV/atom
E_form = 4.696 eV/f.u.

(2)
Below is Tb5Sm6Y after structural relaxation, with properties calculated at the PBE level.

a = 11.891 Å, b = 6.237 Å, c = 6.234 Å
α = 59.99°, β = 85.01°, γ = 79.98°
Sites, in units of the cell vectors:
1 Sm 0.250 0.583 0.334
2 Sm 0.250 0.251 0.000
3 Sm 0.750 0.749 0.000
4 Sm 0.750 0.417 0.666
5 Sm 0.750 0.083 0.334
6 Sm 0.250 0.917 0.666
7 Tb 0.000 0.333 0.333
8 Tb 0.500 0.167 0.667
9 Tb 0.000 0.667 0.667
10 Tb 0.500 0.500 0.000
11 Tb 0.500 0.833 0.333
12 Y 0.000 0.000 0.000

symmetry = C2/m, No. 12
density of states at the Fermi level = 1.264 states/eV/atom
E_form = 0.151 eV/f.u.

(3)
Below is Tb5Sm3Y3 after structural relaxation, with properties calculated at the PBE level.

a = 5.545 Å, b = 9.657 Å, c = 9.657 Å
α = 120.00°, β = 90.00°, γ = 90.00°
Sites, in units of the cell vectors:
1 Sm 0.500 0.000 0.363
2 Sm 0.500 0.363 0.000
3 Sm 0.500 0.637 0.637
4 Tb 0.500 0.000 0.729
5 Tb 0.500 0.667 0.333
6 Tb 0.500 0.729 0.000
7 Tb 0.500 0.271 0.271
8 Tb 0.500 0.333 0.667
9 Y 0.000 0.455 0.455
10 Y 0.000 0.000 0.545
11 Y 0.000 0.545 0.000

symmetry = P-62m, No. 189
density of states at the Fermi level = 1.643 states/eV/atom
E_form = 8.828 eV/f.u.

(4)
Below is Tb16Sm7Y6 after structural relaxation, with properties calculated at the PBE level.

a = 11.191 Å, b = 11.191 Å, c = 11.191 Å
α = 60.00°, β = 60.00°, γ = 60.00°
Sites, in units of the cell vectors:
1 Tb 0.653 0.653 0.042
2 Tb 0.875 0.875 0.875
3 Tb 0.125 0.626 0.125
4 Tb 0.653 0.653 0.653
5 Tb 0.347 0.958 0.347
6 Tb 0.875 0.374 0.875
7 Tb 0.626 0.125 0.125
8 Tb 0.374 0.875 0.875
9 Tb 0.653 0.042 0.653
10 Tb 0.042 0.653 0.653
11 Tb 0.958 0.347 0.347
12 Tb 0.347 0.347 0.958
13 Tb 0.125 0.125 0.626
14 Tb 0.347 0.347 0.347
15 Tb 0.875 0.875 0.374
16 Tb 0.125 0.125 0.125
17 Sm 0.500 0.500 0.000
18 Sm 0.000 0.000 0.500
19 Sm 0.000 0.500 0.500
20 Sm 0.500 0.000 0.500
21 Sm 0.000 0.500 0.000
22 Sm 0.500 0.000 0.000
23 Sm 0.000 0.000 0.000
24 Y 0.726 0.726 0.274
25 Y 0.274 0.274 0.726
26 Y 0.274 0.726 0.726
27 Y 0.274 0.726 0.274
28 Y 0.726 0.274 0.726
29 Y 0.726 0.274 0.274

symmetry = Fm-3m, No. 225
density of states at the Fermi level = 1.999 states/eV/atom
E_form = 6.879 eV/f.u.

(5)
Below is TbSm3Y7 after structural relaxation, with properties calculated at the PBE level.

a = 5.559 Å, b = 10.174 Å, c = 8.893 Å
α = 106.06°, β = 128.69°, γ = 89.99°
Sites, in units of the cell vectors:
1 Sm 0.000 0.500 0.000
2 Sm 0.717 0.996 0.216
3 Sm 0.283 0.004 0.784
4 Y 0.907 0.829 0.907
5 Y 0.682 0.364 0.182
6 Y 0.500 0.000 0.500
7 Y 0.861 0.712 0.361
8 Y 0.318 0.636 0.818
9 Y 0.139 0.288 0.639
10 Y 0.093 0.171 0.093
11 Tb 0.500 0.500 0.500

symmetry = P2/m, No. 10
polymorph energy (0 for the lowest one) = 0 meV per atom
density of states at the Fermi level = 1.687 states/eV/atom
E_form = 1.567 eV/f.u.

(6)
Below is Tb4Sm19Y6 after structural relaxation, with properties calculated at the PBE level.

a = 10.917 Å, b = 10.917 Å, c = 10.917 Å
α = 109.47°, β = 109.47°, γ = 109.47°
Sites, in units of the cell vectors:
1 Sm 0.197 0.219 0.540
2 Sm 0.460 0.680 0.657
3 Sm 0.257 0.000 0.257
4 Sm 0.680 0.657 0.460
5 Sm 0.743 0.000 0.743
6 Sm 0.540 0.197 0.219
7 Sm 0.257 0.257 0.000
8 Sm 0.977 0.320 0.781
9 Sm 0.781 0.977 0.320
10 Sm 0.343 0.023 0.803
11 Sm 0.803 0.343 0.023
12 Sm 0.023 0.803 0.343
13 Sm 0.657 0.460 0.680
14 Sm 0.743 0.743 0.000
15 Sm 0.320 0.781 0.977
16 Sm 0.000 0.743 0.743
17 Sm 0.219 0.540 0.197
18 Sm 0.000 0.000 0.000
19 Sm 0.000 0.257 0.257
20 Y 0.626 0.500 0.126
21 Y 0.126 0.626 0.500
22 Y 0.874 0.374 0.500
23 Y 0.374 0.500 0.874
24 Y 0.500 0.126 0.626
25 Y 0.500 0.874 0.374
26 Tb 0.638 0.000 0.000
27 Tb 0.000 0.000 0.638
28 Tb 0.362 0.362 0.362
29 Tb 0.000 0.638 0.000

symmetry = I23, No. 197
density of states at the Fermi level = 1.441 states/eV/atom
E_form = 10.800 eV/f.u.

(7)
Below is TbSm3Y5 after structural relaxation, with properties calculated at the PBE level.

a = 7.089 Å, b = 9.806 Å, c = 9.806 Å
α = 120.00°, β = 90.00°, γ = 90.00°
Sites, in units of the cell vectors:
1 Y 0.000 0.667 0.333
2 Y 0.750 0.309 0.309
3 Y 0.750 0.000 0.691
4 Y 0.500 0.667 0.333
5 Y 0.500 0.333 0.667
6 Y 0.250 0.000 0.309
7 Y 0.250 0.309 0.000
8 Y 0.000 0.333 0.667
9 Y 0.750 0.691 0.000
10 Y 0.250 0.691 0.691
11 Sm 0.750 0.000 0.358
12 Sm 0.250 0.642 0.000
13 Sm 0.250 0.000 0.642
14 Sm 0.250 0.358 0.358
15 Sm 0.750 0.642 0.642
16 Sm 0.750 0.358 0.000
17 Tb 0.500 0.000 0.000
18 Tb 0.000 0.000 0.000

symmetry = P6_3/mcm, No. 193
polymorph energy (0 for the lowest one) = 0 meV per atom
density of states at the Fermi level = 1.522 states/eV/atom
E_form = 0.463 eV/f.u.

(8)
Below is Tb4Sm7Y after structural relaxation, with properties calculated at the PBE level.

a = 5.998 Å, b = 11.657 Å, c = 6.749 Å
α = 83.55°, β = 63.62°, γ = 75.09°
Sites, in units of the cell vectors:
1 Tb 0.245 0.320 0.191
2 Tb 0.755 0.680 0.809
3 Tb 0.360 0.777 0.503
4 Tb 0.640 0.223 0.497
5 Sm 0.939 0.323 0.799
6 Sm 0.369 0.501 0.760
7 Sm 0.788 0.921 0.503
8 Sm 0.631 0.499 0.240
9 Sm 0.061 0.677 0.201
10 Sm 0.212 0.079 0.497
11 Sm 0.500 0.000 0.000
12 Y 0.000 0.000 0.000

symmetry = C2/m, No. 12
polymorph energy (0 for the lowest one) = 259 meV per atom
density of states at the Fermi level = 1.496 states/eV/atom
E_form = 3.160 eV/f.u.

(9)
Below is TbSm8Y2 after structural relaxation, with properties calculated at the PBE level.

a = 6.702 Å, b = 10.350 Å, c = 10.350 Å
α = 38.11°, β = 59.53°, γ = 59.53°
Sites, in units of the cell vectors:
1 Y 0.409 0.199 0.199
2 Y 0.591 0.801 0.801
3 Sm 0.773 0.651 0.174
4 Sm 0.829 0.246 0.246
5 Sm 0.274 0.409 0.409
6 Sm 0.227 0.826 0.349
7 Sm 0.726 0.591 0.591
8 Sm 0.171 0.754 0.754
9 Sm 0.227 0.349 0.826
10 Sm 0.773 0.174 0.651
11 Tb 0.000 0.000 0.000

symmetry = C2/m, No. 12
polymorph energy (0 for the lowest one) = 148 meV per atom
density of states at the Fermi level = 1.634 states/eV/atom
E_form = 1.798 eV/f.u.

(10)
Below is Tb4Sm5Y after structural relaxation, with properties calculated at the PBE level.

a = 3.578 Å, b = 10.820 Å, c = 9.340 Å
α = 103.38°, β = 100.99°, γ = 90.03°
Sites, in units of the cell vectors:
1 Tb 0.324 0.780 0.646
2 Tb 0.027 0.260 0.055
3 Tb 0.676 0.220 0.354
4 Tb 0.973 0.740 0.945
5 Sm 0.169 0.527 0.339
6 Sm 0.500 0.500 0.000
7 Sm 0.159 0.908 0.320
8 Sm 0.831 0.473 0.661
9 Sm 0.841 0.092 0.680
10 Y 0.500 0.000 0.000

symmetry = P-1, No. 2
polymorph energy (0 for the lowest one) = 0 meV per atom
density of states at the Fermi level = 1.585 states/eV/atom
E_form = 2.145 eV/f.u.

(11)
Below is Tb5Sm7Y after structural relaxation, with properties calculated at the PBE level.

a = 6.715 Å, b = 8.800 Å, c = 8.800 Å
α = 80.03°, β = 67.57°, γ = 67.57°
Sites, in units of the cell vectors:
1 Sm 0.423 0.577 0.577
2 Sm 0.235 0.265 0.265
3 Sm 0.482 0.191 0.846
4 Sm 0.980 0.349 0.690
5 Sm 0.482 0.846 0.191
6 Sm 0.730 0.270 0.270
7 Sm 0.980 0.690 0.349
8 Tb 0.997 0.542 0.000
9 Tb 0.997 0.000 0.542
10 Tb 0.462 0.000 0.542
11 Tb 0.462 0.542 0.000
12 Tb 0.731 0.769 0.769
13 Y 0.040 0.960 0.960

symmetry = Imm2, No. 44
density of states at the Fermi level = 1.707 states/eV/atom
E_form = 3.046 eV/f.u.

(12)
Below is Tb4Sm3Y8 after structural relaxation, with properties calculated at the PBE level.

a = 6.770 Å, b = 9.310 Å, c = 9.310 Å
α = 87.25°, β = 111.33°, γ = 111.33°
Sites, in units of the cell vectors:
1 Sm 0.500 0.500 0.500
2 Sm 0.500 0.000 0.500
3 Sm 0.500 0.500 0.000
4 Tb 0.000 0.000 0.500
5 Tb 0.000 0.000 0.000
6 Tb 0.000 0.500 0.000
7 Tb 0.500 0.000 0.000
8 Y 0.000 0.643 0.357
9 Y 0.500 0.252 0.748
10 Y 0.468 0.733 0.733
11 Y 0.992 0.737 0.737
12 Y 0.500 0.748 0.252
13 Y 0.532 0.267 0.267
14 Y 0.000 0.357 0.643
15 Y 0.008 0.263 0.263

symmetry = C2/m, No. 12
polymorph energy (0 for the lowest one) = 239 meV per atom
density of states at the Fermi level = 2.091 states/eV/atom
E_form = 5.835 eV/f.u.

Electronic total energy per entry: -90.37; -57.78; -47.87; -139.02; -62.47; -136.17; -50.64; -54.86; -53.51; -46.44; -59.60; -78.56 eV/f.u.